(1)
VASP calculation (GGA-PBE) on a geometry-optimized LiSi2As structure.

Properties
M_tot: 0.0 μB per cell
Mass density: 3.63 g cm⁻³
Fermi-level density of states: 4.082 states/eV per cell
Final energy: -65.8 eV/cell

Structure (CIF):
```
data_LiSi2As
_chemical_formula_sum 'Li4 Si8 As4'
_symmetry_space_group_name_H-M 'F -4 3 m'
_symmetry_Int_Tables_number 216
_symmetry_space_group_name_Hall 'F -4 2 3'
_cell_length_a 6.319
_cell_length_b 6.319
_cell_length_c 6.319
_cell_angle_alpha 90.00
_cell_angle_beta 90.00
_cell_angle_gamma 90.00
loop_
_atom_site_label
_atom_site_fract_x
_atom_site_fract_y
_atom_site_fract_z
_atom_site_occupancy
Li1 0.000 0.000 0.000 1
Si1 0.000 0.000 0.500 1
Si2 0.250 0.250 0.250 1
As1 0.250 0.250 0.750 1
```



(2)
VASP calculation (GGA-PBE) on a geometry-optimized Be2NiBr structure.

Properties
M_tot: 0.0 μB per cell
Mass density: 4.79 g cm⁻³
E above lowest polymorph: 107 meV/atom
Fermi-level density of states: 1.686 states/eV per cell

Structure (CIF):
```
data_Be2NiBr
_chemical_formula_sum 'Be2 Ni1 Br1'
_symmetry_space_group_name_H-M 'P 1 2/m 1'
_symmetry_Int_Tables_number 10
_symmetry_space_group_name_Hall '-P 2y'
_cell_length_a 3.097
_cell_length_b 2.967
_cell_length_c 5.915
_cell_angle_alpha 90.00
_cell_angle_beta 90.17
_cell_angle_gamma 90.00
loop_
_atom_site_label
_atom_site_fract_x
_atom_site_fract_y
_atom_site_fract_z
_atom_site_occupancy
Be1 0.001 0.000 0.174 1
Ni1 0.500 0.500 0.000 1
Br1 0.000 0.500 0.500 1
```



(3)
VASP calculation (GGA-PBE) on a geometry-optimized NpPtF structure.

Properties
M_tot: 7.7 μB per cell
Mass density: 13.92 g cm⁻³
Fermi-level density of states: 16.225 states/eV per cell
Final energy: -51.7 eV/cell

Structure (CIF):
```
data_NpPtF
_chemical_formula_sum 'Np2 Pt2 F2'
_symmetry_space_group_name_H-M 'P 1 21/m 1'
_symmetry_Int_Tables_number 11
_symmetry_space_group_name_Hall '-P 2yb'
_cell_length_a 3.615
_cell_length_b 3.998
_cell_length_c 7.660
_cell_angle_alpha 90.00
_cell_angle_beta 103.61
_cell_angle_gamma 90.00
loop_
_atom_site_label
_atom_site_fract_x
_atom_site_fract_y
_atom_site_fract_z
_atom_site_occupancy
Np1 0.136 0.250 0.271 1
Pt1 0.439 0.250 0.879 1
F1 0.250 0.750 0.500 1
```



- Fermi-level density of states of number 2 (Be2NiBr)?
  1.686 states/eV per cell



- mass density of number 3 (NpPtF)?
  13.92 g cm⁻³



- Which value of M_tot does entry 2 give?
  0.0 μB per cell